#P
4
Lattice="-0.940 -2.465 -0.858 0.493 -2.275 1.510 -7.276 -0.328 4.433" Properties=species:S:1:pos:R:3 comment="ScNi2Mo SCAN PBEsol geometry" dos_at_fermi_per_ev_atom=0.84 vol_a3_per_cell=55.8 pbc="T T T"
Mo 0.000 0.000 0.000
Ni -5.826 -3.795 3.833
Ni -1.898 -1.273 1.252
Sc -3.862 -2.534 2.542



#Q
4
Lattice="-0.185 2.686 0.416 -3.279 -0.662 2.819 4.787 -1.340 1.859" Properties=species:S:1:pos:R:3 comment="ScNi2Mo SCAN PBEsol geometry" dos_at_fermi_per_ev_atom=1.13 vol_a3_per_cell=55.3 pbc="T T T"
Mo 0.034 -0.511 3.313
Sc 3.002 -0.322 3.417
Ni 1.284 1.195 1.775
Ni 0.058 -0.006 0.066



Most stable structure: #Q



#P
4
Lattice="-1.369 2.002 2.224 -0.271 -2.519 2.100 5.900 1.366 2.401" Properties=species:S:1:pos:R:3 comment="TlAgMo2 SCAN PBEsol geometry" dos_at_fermi_per_ev_atom=0.58 vol_a3_per_cell=70.5 pbc="T T T"
Mo 0.391 0.022 2.655
Mo 0.180 0.042 0.073
Tl 2.960 0.685 1.205
Ag 3.679 0.783 3.993



#Q
4
Lattice="3.577 0.000 0.000 0.000 4.139 0.000 0.000 0.000 4.580" Properties=species:S:1:pos:R:3 comment="TlAgMo2 SCAN PBEsol geometry" dos_at_fermi_per_ev_atom=0.50 vol_a3_per_cell=67.8 pbc="T T T"
Mo 1.789 2.069 0.000
Mo 0.000 0.000 0.000
Ag 0.000 2.069 2.290
Tl 1.789 0.000 2.290



Most stable structure: #P



#P
4
Lattice="-3.315 1.218 -1.132 -2.368 -5.030 1.522 0.198 4.201 3.943" Properties=species:S:1:pos:R:3 comment="LaHg2Br SCAN PBEsol geometry" dos_at_fermi_per_ev_atom=0.51 vol_a3_per_cell=108.8 pbc="T T T"
Hg 0.099 2.100 1.971
Hg -1.184 -2.515 0.761
Br -2.743 0.194 2.167
La -1.658 0.609 -0.566



#Q
4
Lattice="4.779 0.000 0.000 0.000 4.779 0.000 -2.389 -2.389 4.471" Properties=species:S:1:pos:R:3 comment="LaHg2Br SCAN PBEsol geometry" dos_at_fermi_per_ev_atom=0.39 vol_a3_per_cell=102.1 pbc="T T T"
La 2.389 2.389 0.000
Hg 2.389 0.000 2.236
Hg 0.000 0.000 0.000
Br 0.000 2.389 2.236



Most stable structure: #Q



#P
4
Lattice="3.072 0.000 0.000 0.000 4.834 0.000 -1.536 -2.417 4.602" Properties=species:S:1:pos:R:3 comment="CaTcW2 SCAN PBEsol geometry" dos_at_fermi_per_ev_atom=0.71 vol_a3_per_cell=68.3 pbc="T T T"
W 1.536 0.000 2.127
W 1.536 2.417 4.532
Ca 1.536 2.417 0.057
Tc 0.000 2.417 2.488



#Q
4
Lattice="-3.958 -0.309 2.170 -1.820 -4.061 0.820 -0.142 -1.603 4.229" Properties=species:S:1:pos:R:3 comment="CaTcW2 SCAN PBEsol geometry" dos_at_fermi_per_ev_atom=1.08 vol_a3_per_cell=65.5 pbc="T T T"
Ca 0.000 0.000 0.000
W -4.440 -4.479 5.415
W -1.480 -1.493 1.805
Tc -2.960 -2.986 3.610



Most stable structure: #P